(1)
Material: Rb2PuF5
Method: DFT, GGA-PBE
State: optimized geometry

## Properties
As for the offset from the most stable computed form: 0.00 kcal/mol of atoms. The calculated volume is 628.3 Å³ per cell. The energy comes out at -6.416 eV per atom.

Unit cell a=11.5562 b=7.8018 c=6.9686 alpha=90.00 beta=90.00 gamma=90.00
With the nearest neighbours (Å) after each atom.
Space group Pnma (No. 62)
Inequivalent atoms, fractional coordinates:
1 Rb 0.1692 0.0026 0.0344 (multiplicity 8)  8 F 2.84-3.06
2 Pu 0.0007 0.2500 0.5522 (multiplicity 4)  7 F 2.29-2.44
3 F 0.0126 0.2500 0.8874 (multiplicity 4)  1 Pu 2.34
4 F 0.0753 0.5300 0.6462 (multiplicity 8)  2 Pu 2.37-2.44
5 F 0.1673 0.2500 0.3731 (multiplicity 4)  1 Pu 2.29
6 F 0.1878 0.7500 0.3461 (multiplicity 4)  1 Pu 2.29

=====

(2)
Material: Be2HgBr
Method: DFT, GGA-PBE
State: optimized geometry

## Properties
As for the offset from the most stable computed form: 3.32 kcal/mol of atoms. The calculated volume is 78.7 Å³ per cell. The energy comes out at -2.024 eV per atom.

Unit cell a=3.0954 b=3.0954 c=8.2129 alpha=90.00 beta=90.00 gamma=90.00
With the nearest neighbours (Å) after each atom.
Space group P4mm (No. 99)
Inequivalent atoms, fractional coordinates:
1 Be 0.0000 0.0000 0.0000 (multiplicity 1)  4 Be 2.32, 1 Hg 2.46
2 Be 0.5000 0.5000 0.0941 (multiplicity 1)  1 Br 2.13, 4 Be 2.32
3 Hg 0.0000 0.0000 0.7000 (multiplicity 1)  1 Be 2.46
4 Br 0.5000 0.5000 0.3539 (multiplicity 1)  1 Be 2.13

=====

Which of these has the lowest energy?
Rb2PuF5

=====

Number 1 is which compound?
Rb2PuF5

=====

calculated volume of number 1 (Rb2PuF5)?
628.3 Å³ per cell

=====

Number 2 is which compound?
Be2HgBr